## FeOF (PBE+U)

Data for crystalline FeOF at its relaxed geometry.

Structure (POSCAR):
```
FeOF
1.0
4.784 0.000 0.000
0.000 3.051 0.000
-0.732 0.000 9.534
Fe O F
4 4 4
Cartesian
0.000 0.000 0.000
0.008 0.000 4.753
2.032 1.525 7.129
2.768 1.525 2.389
0.775 1.525 5.712
3.529 0.000 1.456
3.382 1.525 8.543
3.947 1.525 3.891
1.149 1.525 0.882
1.048 0.000 8.085
1.610 0.000 3.228
3.024 0.000 6.260
```

Properties
Volume (Å³ per cell): 139
Final energy (eV for the cell shown): -71.5